Mg10Ge3H4O18 | PBE | relaxed

a b c (Å): 5.2320 8.9754 14.3467
angles (deg): 90.00 90.00 90.00
Closest atoms and distances in Å follow each position.
Fractional positions:
O1 0.1505 0.8498 0.0765  1 Ge 1.91
O2 0.1744 0.1659 0.4158  1 Ge 1.80
O3 0.3495 0.6502 0.5765  1 Ge 1.91
H1 0.4270 0.1028 0.6907  1 O 0.99
Mg1 0.8353 0.5000 0.3259  6 O 2.05-2.24
Mg2 0.5000 0.8251 0.0000  6 O 2.08-2.18
O4 0.1865 0.5000 0.0852  1 Ge 1.80, 2 H 1.87
O5 0.1744 0.8341 0.4158  1 Ge 1.80
H2 0.0730 0.3972 0.1907  1 O 0.99
O6 0.6505 0.3498 0.4235  1 Ge 1.91
Mg3 0.0000 0.6749 0.5000  6 O 2.08-2.18
Mg4 0.6647 0.0000 0.8259  6 O 2.05-2.24
Ge1 0.5000 0.5000 0.5000  6 O 1.91-2.04
O7 0.5171 0.8418 0.2533  1 H 0.99
O8 0.1505 0.1502 0.0765  1 Ge 1.91
O9 0.9934 0.0000 0.7474  1 Ge 1.79
H3 0.5730 0.1028 0.3093  1 O 0.99
O10 0.8256 0.8341 0.5842  1 Ge 1.80
O11 0.0171 0.6582 0.2467  1 H 0.99
H4 0.9270 0.3972 0.8093  1 O 0.99
Mg5 0.5000 0.1602 0.5000  6 O 2.09-2.17
O12 0.6744 0.6659 0.0842  1 Ge 1.80
Mg6 0.8404 0.1763 0.1777  5 O 2.01-2.19
H5 0.4270 0.8972 0.6907  1 O 0.99
O13 0.5066 0.5000 0.2474  1 Ge 1.79
Mg7 0.3404 0.3237 0.3223  5 O 2.01-2.19
Ge2 0.4863 0.5000 0.8771  4 O 1.79-1.80
H6 0.0730 0.6028 0.1907  1 O 0.99
Mg8 0.0000 0.6602 0.0000  6 O 2.09-2.17
Ge3 0.5137 0.5000 0.1229  4 O 1.79-1.80
H7 0.9270 0.6028 0.8093  1 O 0.99
O14 0.8495 0.8498 0.9235  1 Ge 1.91
O15 0.3256 0.3341 0.9158  1 Ge 1.80
O16 0.5171 0.1582 0.2533  1 H 0.99
Mg9 0.0000 0.3251 0.5000  6 O 2.08-2.18
O17 0.0171 0.3418 0.2467  1 H 0.99
Ge4 0.0000 0.0000 0.0000  6 O 1.91-2.04
O18 0.4829 0.8418 0.7467  1 H 0.99
O19 0.3135 0.0000 0.5852  1 Ge 1.80, 2 H 1.87
O20 0.8256 0.1659 0.5842  1 Ge 1.80
Mg10 0.1647 0.5000 0.6741  6 O 2.05-2.24
Mg11 0.6596 0.6763 0.6777  5 O 2.01-2.19
O21 0.4829 0.1582 0.7467  1 H 0.99
O22 0.3256 0.6659 0.9158  1 Ge 1.80
O23 0.3185 0.0000 0.9181  1 Ge 2.04, 5 Mg 2.18-2.25
O24 0.3495 0.3498 0.5765  1 Ge 1.91
Mg12 0.0000 0.3398 0.0000  6 O 2.09-2.17
O25 0.9829 0.3418 0.7533  1 H 0.99
Mg13 0.8404 0.8237 0.1777  5 O 2.01-2.19
O26 0.6815 0.0000 0.0819  1 Ge 2.04, 5 Mg 2.18-2.25
Ge5 0.0137 0.0000 0.3771  4 O 1.79-1.80
Mg14 0.1596 0.8237 0.8223  5 O 2.01-2.19
Mg15 0.3404 0.6763 0.3223  5 O 2.01-2.19
O27 0.8185 0.5000 0.5819  1 Ge 2.04, 5 Mg 2.18-2.25
O28 0.6505 0.6502 0.4235  1 Ge 1.91
Mg16 0.6596 0.3237 0.6777  5 O 2.01-2.19
O29 0.0066 0.0000 0.2526  1 Ge 1.79
O30 0.1815 0.5000 0.4181  1 Ge 2.04, 5 Mg 2.18-2.25
Mg17 0.5000 0.1749 0.0000  6 O 2.08-2.18
O31 0.6744 0.3341 0.0842  1 Ge 1.80
O32 0.8495 0.1502 0.9235  1 Ge 1.91
O33 0.6865 0.0000 0.4148  1 Ge 1.80, 2 H 1.87
Mg18 0.5000 0.8398 0.5000  6 O 2.09-2.17
O34 0.9829 0.6582 0.7533  1 H 0.99
O35 0.8135 0.5000 0.9148  1 Ge 1.80, 2 H 1.87
Mg19 0.1596 0.1763 0.8223  5 O 2.01-2.19
Mg20 0.3353 0.0000 0.1741  6 O 2.05-2.24
O36 0.4934 0.5000 0.7526  1 Ge 1.79
Ge6 0.9863 0.0000 0.6229  4 O 1.79-1.80
H8 0.5730 0.8972 0.3093  1 O 0.99

## Properties
raw total energy	-0.4415	Ry/atom
D(E_F)	0.0000	states/eV per atom

Mg3GeH2Pd6 | PBE | relaxed

a b c (Å): 5.5752 5.5752 7.7629
angles (deg): 90.00 90.00 120.00
Closest atoms and distances in Å follow each position.
Fractional positions:
Pd1 0.6569 0.8285 0.2740  1 H 1.85
Pd2 0.1715 0.8285 0.2740  1 H 1.85
Pd3 0.8285 0.1715 0.7260  1 H 1.85
Ge1 0.0000 0.0000 0.5000  6 Pd 2.41
Pd4 0.8285 0.6569 0.7260  1 H 1.85
H1 0.3333 0.6667 0.1467  3 Pd 1.85
Pd5 0.1715 0.3431 0.2740  1 H 1.85
Mg1 0.6667 0.3333 0.3786  9 Pd 2.90-3.12
Mg2 0.3333 0.6667 0.6214  9 Pd 2.90-3.12
Pd6 0.3431 0.1715 0.7260  1 H 1.85
H2 0.6667 0.3333 0.8533  3 Pd 1.85
Mg3 0.0000 0.0000 0.0000  6 Pd 2.70

## Properties
raw total energy	-0.3165	Ry/atom
D(E_F)	0.2389	states/eV per atom

Mg2GeHPd6 | PBE | relaxed

a b c (Å): 5.6436 6.4577 5.6568
angles (deg): 55.29 69.45 90.37
Closest atoms and distances in Å follow each position.
Fractional positions:
Pd1 0.3473 0.3118 0.8794  1 H 2.01
Pd2 0.6948 0.8099 0.5397  1 H 2.01
H1 0.5000 0.5000 0.0000  6 Pd 2.01-2.02
Pd3 0.1910 0.6535 0.0405  1 H 2.02
Pd4 0.6526 0.6882 0.1206  1 H 2.01
Pd5 0.3052 0.1901 0.4603  1 H 2.01
Mg1 0.2328 0.7714 0.4590  9 Pd 2.74-2.97, 1 Ge 2.95
Ge1 0.0000 0.0000 0.0000  6 Pd 2.41-2.42
Mg2 0.7672 0.2286 0.5410  9 Pd 2.74-2.97, 1 Ge 2.95
Pd6 0.8090 0.3465 0.9595  1 H 2.02

## Properties
raw total energy	-0.3442	Ry/atom
D(E_F)	0.1844	states/eV per atom